Computed, not measured: crystalline Al2CoAu at its relaxed geometry at the PBE level of DFT.

Unit cell a=2.9788 b=3.5947 c=5.4278 alpha=90.00 beta=90.00 gamma=90.00
Closest atoms and distances in Å follow each position.
Space group Pmm2 (No. 25)
Asymmetric unit:
Al1 0.0000 0.0000 0.0000  4 Co 2.49, 1 Au 2.61
Al2 0.5000 0.5000 0.2936  1 Co 2.45, 4 Au 2.64
Co1 0.5000 0.5000 0.8427  5 Al 2.45-2.49
Au1 0.0000 0.0000 0.5196  6 Al 2.61-2.82, 4 Co 2.92

Results
Its formation energy is -27.23 kJ per mole of atoms.

---

Computed, not measured: crystalline Al2CoAu at its relaxed geometry at the PBE level of DFT.

Unit cell a=8.3081 b=2.9184 c=4.8843 alpha=90.00 beta=102.39 gamma=90.00
Closest atoms and distances in Å follow each position.
Space group C2/m (No. 12)
Asymmetric unit:
Al1 0.2389 0.0000 0.2217  3 Co 2.51-2.62, 3 Au 2.64-2.72, 2 Al 2.65
Co1 0.0000 0.5000 0.0000  6 Al 2.51-2.62
Au1 0.0000 0.0000 0.5000  6 Al 2.64-2.72, 4 Co 2.84, 2 Au 2.92

Results
Its formation energy is -23.99 kJ per mole of atoms.

---

Computed, not measured: crystalline AlCo2Au at its relaxed geometry at the PBE level of DFT.

Unit cell a=3.6415 b=3.6415 c=18.0369 alpha=90.00 beta=90.00 gamma=90.00
Closest atoms and distances in Å follow each position.
Space group I-42d (No. 122)
Asymmetric unit:
Al1 0.0000 0.0000 0.0000  4 Co 2.54, 4 Au 2.57
Co1 0.2050 0.2500 0.1250  2 Co 2.35, 2 Al 2.54
Au1 0.0000 0.0000 0.5000  4 Al 2.57, 4 Co 2.66

Results
Its formation energy is 21.77 kJ per mole of atoms.

---

no.,E (eV per cell)
1,-19.0
2,-37.7
3,-81.3